Entry 1:
## BeAg3 (PBE)

Data for BeAg3 after structural relaxation.

abc: 4.4918 4.4918 4.4918
angles: 90.00 90.00 90.00
With the nearest neighbours (Å) after each atom.
Sites, in units of the cell vectors:
Be (0.0000, 0.0000, 0.0000)  6 Ag 2.25
Ag (0.0000, 0.0000, 0.5000)  2 Be 2.25
Ag (0.0000, 0.5000, 0.0000)  2 Be 2.25
Ag (0.5000, 0.0000, 0.0000)  2 Be 2.25

Calculated values
**VASP energy**: -2.447 eV per atom
**Mass density**: 6.09 g/cm3
**Calculated formation energy**: 0.623 eV/atom


Entry 2:
## PuHgBr3 (PBE)

Data for PuHgBr3 after structural relaxation.

abc: 5.7328 5.7328 5.7328
angles: 90.00 90.00 90.00
With the nearest neighbours (Å) after each atom.
Sites, in units of the cell vectors:
Pu (0.0000, 0.0000, 0.0000)  6 Br 2.87
Hg (0.5000, 0.5000, 0.5000)  12 Br 4.05
Br (0.0000, 0.0000, 0.5000)  2 Pu 2.87
Br (0.0000, 0.5000, 0.0000)  2 Pu 2.87
Br (0.5000, 0.0000, 0.0000)  2 Pu 2.87

Calculated values
**Polymorph energy (0 for the lowest one)**: 89 meV/atom
**VASP energy**: -5.048 eV per atom
**Mass density**: 6.03 g/cm3
**Energy relative to the elements, uncorrected**: -1.118 eV per atom


Number 1 is which compound? BeAg3